[1]
Below is La2Dy3Y7 after structural relaxation, with properties calculated at the PBE-GGA level.

Calculated values
Total energy, eV/atom: -5.657
Fermi-level density of states, states/eV/f.u.: 19.71

Cell lengths 3.536, 6.405, 18.107 Å; angles 75.46, 90.00, 90.00 degrees
Sites, in units of the cell vectors:
1 Y 0.500 0.759 0.499
2 Y 0.500 0.937 0.834
3 Y 0.000 0.561 0.162
4 Y 0.500 0.241 0.501
5 Y 0.000 0.000 0.000
6 Y 0.500 0.063 0.166
7 Y 0.000 0.439 0.838
8 La 0.500 0.385 0.672
9 La 0.500 0.615 0.328
10 Dy 0.000 0.888 0.658
11 Dy 0.000 0.112 0.342
12 Dy 0.500 0.500 0.000

---

[2]
Below is FeTcOs3 after structural relaxation, with properties calculated at the PBE-GGA level.

Calculated values
Energy above the lowest structure with this stoichiometry, eV per formula unit: 0.000
Total energy, eV/atom: -8.650
Fermi-level density of states, states/eV/f.u.: 9.06

Cell lengths 4.346, 4.346, 4.346 Å; angles 90.00, 90.00, 90.00 degrees
Sites, in units of the cell vectors:
1 Os 0.000 0.500 0.000
2 Os 0.500 0.000 0.000
3 Os 0.000 0.000 0.500
4 Tc 0.500 0.500 0.500
5 Fe 0.000 0.000 0.000

---

Number 1: ΔE_f 0.0850 eV/atom. Number 2: ΔE_f 1.8532 eV/atom.